[1]
The following is a PBE calculation of a relaxed LiPaIn2 crystal, from the Alexandria database.

Geometry as POSCAR:
```
LiPaIn2
1.0
-2.815 -0.789 1.313
-0.857 -3.080 0.223
3.306 -1.873 9.875
Li Pa In
1 1 2
direct
0.000 0.000 0.000 Li
0.500 0.500 0.500 Pa
0.257 0.257 0.228 In
0.743 0.743 0.772 In
```

SG ... No. 166
V ... 23.17 Å³/atom
Calculated density ... 8.38 g/cm3
Relative energy among the computed polymorphs ... 35 meV/atom
Fermi-level density of states ... 1.031 states/eV/atom
Electronic total energy ... -17.342 eV for the cell shown

---

[2]
The following is a PBE calculation of a relaxed LiPaIn crystal, from the Alexandria database.

Geometry as POSCAR:
```
LiPaIn
1.0
4.558 0.000 0.000
0.000 3.110 0.000
0.000 1.555 9.253
In Li Pa
2 2 2
direct
0.750 0.895 0.210 In
0.250 0.105 0.790 In
0.750 0.539 0.923 Li
0.250 0.461 0.077 Li
0.250 0.284 0.433 Pa
0.750 0.716 0.567 Pa
```

SG ... No. 63
V ... 21.86 Å³/atom
Calculated density ... 8.93 g/cm3
Relative energy among the computed polymorphs ... 0 meV/atom
Fermi-level density of states ... 1.027 states/eV/atom
Electronic total energy ... -28.833 eV for the cell shown

---

[3]
The following is a PBE calculation of a relaxed LiPa2InPt4 crystal, from the Alexandria database.

Geometry as POSCAR:
```
LiPa2InPt4
1.0
4.825 0.000 0.000
2.413 4.179 0.000
2.413 1.393 7.777
Pt Pa In Li
4 2 1 1
direct
0.616 0.616 0.152 Pt
0.384 0.384 0.848 Pt
0.127 0.127 0.620 Pt
0.873 0.873 0.380 Pt
0.749 0.749 0.752 Pa
0.251 0.251 0.248 Pa
0.000 0.000 0.000 In
0.500 0.500 0.500 Li
```

SG ... No. 166
V ... 19.60 Å³/atom
Calculated density ... 14.44 g/cm3
Fermi-level density of states ... 0.764 states/eV/atom
Electronic total energy ... -54.259 eV for the cell shown

---

[4]
The following is a PBE calculation of a relaxed LiPaInPt crystal, from the Alexandria database.

Geometry as POSCAR:
```
LiPaInPt
1.0
-3.622 0.353 3.161
0.066 -2.623 4.044
0.715 2.149 4.255
Pa Pt Li In
1 1 1 1
direct
0.000 0.000 0.000 Pa
0.250 0.250 0.250 Pt
0.750 0.750 0.750 Li
0.500 0.500 0.500 In
```

SG ... No. 216
V ... 19.80 Å³/atom
Calculated density ... 11.49 g/cm3
Fermi-level density of states ... 0.933 states/eV/atom
Electronic total energy ... -22.144 eV for the cell shown